[1]
First-principles (PBE-GGA) data for a relaxed HoTl2Zn crystal, as listed in Alexandria via LeMat-Bulk.

The structure in POSCAR format:
```
HoTl2Zn
1.0
4.608 0.000 0.000
0.000 4.608 0.000
0.000 0.000 4.523
Ho Tl Zn
1 2 1
Cartesian
0.000 0.000 0.000
0.000 2.304 2.262
2.304 0.000 2.262
2.304 2.304 0.000
```

SG: P4/mmm (123)

---

[2]
First-principles (PBE-GGA) data for a relaxed Cu2TcBr crystal, as listed in Alexandria via LeMat-Bulk.

The structure in POSCAR format:
```
Cu2TcBr
1.0
2.570 0.000 0.000
0.000 3.017 0.000
0.000 0.000 9.225
Cu Tc Br
2 1 1
Cartesian
0.000 0.000 1.739
0.000 0.000 7.486
1.285 1.508 0.000
1.285 1.508 4.612
```

SG: Pmmm (47)
Relative energy among the computed polymorphs, meV/atom: 56
Raw formation energy, kJ/mol of formula units: 219

---

Final energy list, top to bottom, in eV for the cell shown: -11.3, -18.0
Total moment list, top to bottom, in μB/cell: 0.00, 0.00